# Ca2Zn2CuPd5

Ca2Zn2CuPd5 after structural relaxation (GGA-PBE, Alexandria).

Cell lengths 3.678, 9.762, 9.762 Å; angles 90.00, 90.00, 90.00 degrees
Fractional coordinates of all 20 atoms:
Zn (0.000, 0.126, 0.626)
Zn (0.000, 0.374, 0.126)
Zn (0.000, 0.626, 0.874)
Zn (0.000, 0.874, 0.374)
Cu (0.000, 0.000, 0.000)
Cu (0.000, 0.500, 0.500)
Pd (0.500, 0.564, 0.698)
Pd (0.500, 0.064, 0.802)
Pd (0.500, 0.500, 0.000)
Pd (0.500, 0.000, 0.500)
Pd (0.500, 0.198, 0.064)
Pd (0.500, 0.302, 0.564)
Pd (0.500, 0.698, 0.436)
Pd (0.500, 0.802, 0.936)
Pd (0.500, 0.936, 0.198)
Pd (0.500, 0.436, 0.302)
Ca (0.000, 0.175, 0.325)
Ca (0.000, 0.325, 0.825)
Ca (0.000, 0.675, 0.175)
Ca (0.000, 0.825, 0.675)

Fermi-level density of states	0.29	states/eV per atom
energy relative to the elements	-521	meV/atom